Entry 1:
A plane-wave DFT calculation with PBEsol was carried out for a relaxed HfNb2Br crystal.

a = 6.6471 Å, b = 6.6471 Å, c = 6.6471 Å
α = 90.00°, β = 90.00°, γ = 90.00°
Space group Fm-3m (No. 225)
One atom of each set of equivalent atoms:
Hf  0.0000  0.0000  0.0000
Nb  0.2500  0.2500  0.2500
Br  0.0000  0.0000  0.5000

Total magnetic moment in μB per formula unit: 0.00
E_form (uncorrected) in eV per formula unit: 2.566


Entry 2:
A plane-wave DFT calculation with PBEsol was carried out for a relaxed HRuS3 crystal.

a = 4.5433 Å, b = 4.5433 Å, c = 4.5433 Å
α = 90.00°, β = 90.00°, γ = 90.00°
Space group Pm-3m (No. 221)
One atom of each set of equivalent atoms:
H  0.0000  0.0000  0.0000
Ru  0.5000  0.5000  0.5000
S  0.0000  0.5000  0.5000

Uncorrected energy in eV/atom: -4.43
Total magnetic moment in μB per formula unit: 0.15


Entry 3:
A plane-wave DFT calculation with PBEsol was carried out for a relaxed TaP2Br crystal.

a = 7.3272 Å, b = 6.9426 Å, c = 2.9318 Å
α = 90.00°, β = 111.25°, γ = 90.00°
Space group C2/m (No. 12)
One atom of each set of equivalent atoms:
Ta  0.0000  0.0000  0.0000
P  0.2500  0.2500  0.5000
Br  0.0000  0.5000  0.0000

Polymorph energy (0 for the lowest one) in eV per atom: 0.3137
Total magnetic moment in μB per formula unit: 0.00
E_form (uncorrected) in eV per formula unit: 1.537


Entry 4:
A plane-wave DFT calculation with PBEsol was carried out for a relaxed CrSiNi2 crystal.

a = 5.5730 Å, b = 5.5730 Å, c = 5.5730 Å
α = 90.00°, β = 90.00°, γ = 90.00°
Space group F-43m (No. 216)
One atom of each set of equivalent atoms:
Cr  0.0000  0.0000  0.0000
Si  0.2500  0.2500  0.2500
Ni  0.0000  0.0000  0.5000
Ni  0.2500  0.2500  0.7500

Total magnetic moment in μB per formula unit: 1.37
E_form (uncorrected) in eV per formula unit: -1.045